## i
Material: SbOs2Pb
Method: DFT, SCAN
State: PBEsol geometry

Summary:
Magnetization in μB/atom: 0.00
ρ in g/cm3: 13.64

a b c (Å): 2.925 4.172 7.080
angles (deg): 90.00 91.60 90.00
Element x y z (fractional)
Os1 0.120 0.000 0.068
Os2 0.630 0.500 0.167
Pb1 0.638 0.000 0.440
Sb1 0.112 0.500 0.825

=====

## ii
Material: SbOs2Pb
Method: DFT, SCAN
State: PBEsol geometry

Summary:
Magnetization in μB/atom: 0.00
ρ in g/cm3: 16.33

a b c (Å): 3.125 3.125 8.715
angles (deg): 79.67 79.67 60.00
Element x y z (fractional)
Os1 0.256 0.256 0.233
Os2 0.744 0.744 0.767
Pb1 0.500 0.500 0.500
Sb1 0.000 0.000 0.000

=====

## iii
Material: SbOs2Pb
Method: DFT, SCAN
State: PBEsol geometry

Summary:
Magnetization in μB/atom: 0.00
ρ in g/cm3: 15.84

a b c (Å): 3.197 4.350 5.348
angles (deg): 90.00 90.00 90.00
Element x y z (fractional)
Os1 0.000 0.000 0.000
Os2 0.500 0.000 0.500
Pb1 0.500 0.500 0.000
Sb1 0.000 0.500 0.500

=====

i is favored, and the nearest alternative lies 0.303 eV/atom above it.